A plane-wave DFT calculation with PBE-GGA was carried out for a relaxed Ca3In2Ga3 crystal.

Output
- energy of formation from the pure elements (eV per formula unit) = -3.67

a b c (Å): 6.1258 6.1258 15.2455
angles (deg): 90.00 90.00 135.33
Atoms (fractional coordinates):
1 Ca 0.0815 0.9185 0.6130
2 Ca 0.0815 0.9185 0.8870
3 Ca 0.3620 0.6380 0.7500
4 Ca 0.6380 0.3620 0.2500
5 Ca 0.9185 0.0815 0.1130
6 Ca 0.9185 0.0815 0.3870
7 In 0.2123 0.7877 0.0966
8 In 0.2123 0.7877 0.4034
9 In 0.7877 0.2123 0.5966
10 In 0.7877 0.2123 0.9034
11 Ga 0.3532 0.6468 0.2500
12 Ga 0.3976 0.6024 0.5380
13 Ga 0.3976 0.6024 0.9620
14 Ga 0.6024 0.3976 0.0380
15 Ga 0.6024 0.3976 0.4620
16 Ga 0.6468 0.3532 0.7500

A plane-wave DFT calculation with PBE-GGA was carried out for a relaxed NdSmGaAu crystal.

Output
- polymorph energy (0 for the lowest one) (meV per atom) = 39
- energy of formation from the pure elements (eV per formula unit) = -2.52

a b c (Å): 7.4119 7.4119 7.4119
angles (deg): 90.00 90.00 90.00
Atoms (fractional coordinates):
1 Nd 0.0000 0.0000 0.0000
2 Nd 0.0000 0.5000 0.5000
3 Nd 0.5000 0.0000 0.5000
4 Nd 0.5000 0.5000 0.0000
5 Sm 0.0000 0.0000 0.5000
6 Sm 0.0000 0.5000 0.0000
7 Sm 0.5000 0.0000 0.0000
8 Sm 0.5000 0.5000 0.5000
9 Ga 0.2500 0.2500 0.2500
10 Ga 0.2500 0.7500 0.7500
11 Ga 0.7500 0.2500 0.7500
12 Ga 0.7500 0.7500 0.2500
13 Au 0.2500 0.2500 0.7500
14 Au 0.2500 0.7500 0.2500
15 Au 0.7500 0.2500 0.2500
16 Au 0.7500 0.7500 0.7500

A plane-wave DFT calculation with PBE-GGA was carried out for a relaxed TaTcAg2 crystal.

Output
- polymorph energy (0 for the lowest one) (meV per atom) = 121
- energy of formation from the pure elements (eV per formula unit) = 1.20

a b c (Å): 2.8393 2.8393 29.3725
angles (deg): 90.00 90.00 120.00
Atoms (fractional coordinates):
1 Ta 0.0000 0.0000 0.0000
2 Ta 0.3333 0.6667 0.6667
3 Ta 0.6667 0.3333 0.3333
4 Tc 0.0000 0.0000 0.7478
5 Tc 0.3333 0.6667 0.4145
6 Tc 0.6667 0.3333 0.0812
7 Ag 0.0000 0.0000 0.2476
8 Ag 0.0000 0.0000 0.4966
9 Ag 0.3333 0.6667 0.1633
10 Ag 0.3333 0.6667 0.9143
11 Ag 0.6667 0.3333 0.5810
12 Ag 0.6667 0.3333 0.8299

A plane-wave DFT calculation with PBE-GGA was carried out for a relaxed Pm3Ga2SnPt9 crystal.

Output
- energy of formation from the pure elements (eV per formula unit) = -11.23

a b c (Å): 5.6554 5.6554 12.1568
angles (deg): 90.00 90.00 120.00
Atoms (fractional coordinates):
1 Pm 0.0000 0.0000 0.0000
2 Pm 0.3333 0.6667 0.7687
3 Pm 0.6667 0.3333 0.2313
4 Ga 0.3333 0.6667 0.1625
5 Ga 0.6667 0.3333 0.8375
6 Sn 0.0000 0.0000 0.5000
7 Pt 0.0000 0.5000 0.0000
8 Pt 0.1657 0.3314 0.3203
9 Pt 0.1657 0.8343 0.3203
10 Pt 0.3314 0.1657 0.6797
11 Pt 0.5000 0.0000 0.0000
12 Pt 0.5000 0.5000 0.0000
13 Pt 0.6686 0.8343 0.3203
14 Pt 0.8343 0.1657 0.6797
15 Pt 0.8343 0.6686 0.6797

A plane-wave DFT calculation with PBE-GGA was carried out for a relaxed Hf2TePb crystal.

Output
- polymorph energy (0 for the lowest one) (meV per atom) = 6
- formation energy from raw total energies (eV/atom) = -0.064

a b c (Å): 4.0370 4.0370 21.4288
angles (deg): 90.00 90.00 120.00
Atoms (fractional coordinates):
1 Hf 0.0000 0.0000 0.0000
2 Hf 0.0000 0.0000 0.1738
3 Hf 0.3333 0.6667 0.6667
4 Hf 0.3333 0.6667 0.8405
5 Hf 0.6667 0.3333 0.3333
6 Hf 0.6667 0.3333 0.5072
7 Te 0.0000 0.0000 0.5876
8 Te 0.3333 0.6667 0.2543
9 Te 0.6667 0.3333 0.9210
10 Pb 0.0000 0.0000 0.4188
11 Pb 0.3333 0.6667 0.0854
12 Pb 0.6667 0.3333 0.7521

A plane-wave DFT calculation with PBE-GGA was carried out for a relaxed PuUMnPd crystal.

Output
- energy of formation from the pure elements (eV per formula unit) = -0.84

a b c (Å): 6.5337 6.5337 6.5337
angles (deg): 90.00 90.00 90.00
Atoms (fractional coordinates):
1 Pu 0.0000 0.0000 0.0000
2 Pu 0.0000 0.5000 0.5000
3 Pu 0.5000 0.0000 0.5000
4 Pu 0.5000 0.5000 0.0000
5 U 0.2500 0.2500 0.2500
6 U 0.2500 0.7500 0.7500
7 U 0.7500 0.2500 0.7500
8 U 0.7500 0.7500 0.2500
9 Mn 0.0000 0.0000 0.5000
10 Mn 0.0000 0.5000 0.0000
11 Mn 0.5000 0.0000 0.0000
12 Mn 0.5000 0.5000 0.5000
13 Pd 0.2500 0.2500 0.7500
14 Pd 0.2500 0.7500 0.2500
15 Pd 0.7500 0.2500 0.2500
16 Pd 0.7500 0.7500 0.7500

A plane-wave DFT calculation with PBE-GGA was carried out for a relaxed SrAl8Ni2 crystal.

Output
- energy of formation from the pure elements (eV per formula unit) = 0.04

a b c (Å): 5.5799 5.5799 8.5617
angles (deg): 90.00 90.00 90.00
Atoms (fractional coordinates):
1 Sr 0.0000 0.0000 0.0000
2 Al 0.2508 0.2508 0.3358
3 Al 0.2508 0.2508 0.6642
4 Al 0.2508 0.7492 0.3358
5 Al 0.2508 0.7492 0.6642
6 Al 0.7492 0.2508 0.3358
7 Al 0.7492 0.2508 0.6642
8 Al 0.7492 0.7492 0.3358
9 Al 0.7492 0.7492 0.6642
10 Ni 0.0000 0.5000 0.5000
11 Ni 0.5000 0.0000 0.5000

A plane-wave DFT calculation with PBE-GGA was carried out for a relaxed NdDy6In6 crystal.

Output
- energy of formation from the pure elements (eV per formula unit) = -4.38

a b c (Å): 6.2627 6.2627 10.7882
angles (deg): 90.00 90.00 120.00
Atoms (fractional coordinates):
1 Nd 0.0000 0.0000 0.0000
2 Dy 0.0000 0.0000 0.3392
3 Dy 0.0000 0.0000 0.6608
4 Dy 0.3333 0.6667 0.0000
5 Dy 0.3333 0.6667 0.5000
6 Dy 0.6667 0.3333 0.0000
7 Dy 0.6667 0.3333 0.5000
8 In 0.0000 0.5000 0.2455
9 In 0.0000 0.5000 0.7545
10 In 0.5000 0.0000 0.2455
11 In 0.5000 0.0000 0.7545
12 In 0.5000 0.5000 0.2455
13 In 0.5000 0.5000 0.7545

A plane-wave DFT calculation with PBE-GGA was carried out for a relaxed Mg2CdPbAu4 crystal.

Output
- energy of formation from the pure elements (eV per formula unit) = -2.53

a b c (Å): 8.7481 8.7481 8.7481
angles (deg): 31.51 31.51 31.51
Atoms (fractional coordinates):
1 Mg 0.2453 0.2453 0.2453
2 Mg 0.7547 0.7547 0.7547
3 Cd 0.5000 0.5000 0.5000
4 Pb 0.0000 0.0000 0.0000
5 Au 0.1292 0.1292 0.1292
6 Au 0.3845 0.3845 0.3845
7 Au 0.6155 0.6155 0.6155
8 Au 0.8708 0.8708 0.8708

A plane-wave DFT calculation with PBE-GGA was carried out for a relaxed Li3SmY2Se6 crystal.

Output
- formation energy from raw total energies (eV/atom) = -1.695

a b c (Å): 7.1032 7.1032 6.9251
angles (deg): 99.82 99.82 120.01
Atoms (fractional coordinates):
1 Li 0.0000 0.0000 0.0000
2 Li 0.3324 0.6676 0.0000
3 Li 0.6676 0.3324 0.0000
4 Sm 0.5000 0.5000 0.5000
5 Y 0.1666 0.8334 0.5000
6 Y 0.8334 0.1666 0.5000
7 Se 0.0771 0.4153 0.2454
8 Se 0.2468 0.2468 0.7555
9 Se 0.4153 0.0771 0.2454
10 Se 0.5847 0.9229 0.7546
11 Se 0.7532 0.7532 0.2445
12 Se 0.9229 0.5847 0.7546

A plane-wave DFT calculation with PBE-GGA was carried out for a relaxed Th4BCl5 crystal.

Output
- formation energy from raw total energies (eV/atom) = -1.429

a b c (Å): 8.6810 8.6810 8.5247
angles (deg): 98.07 98.07 25.17
Atoms (fractional coordinates):
1 Th 0.0006 0.0006 0.2130
2 Th 0.3396 0.3396 0.9415
3 Th 0.6604 0.6604 0.0585
4 Th 0.9994 0.9994 0.7870
5 B 0.5000 0.5000 0.0000
6 Cl 0.1674 0.1674 0.3212
7 Cl 0.1671 0.1671 0.7951
8 Cl 0.5000 0.5000 0.5000
9 Cl 0.8329 0.8329 0.2049
10 Cl 0.8326 0.8326 0.6788

A plane-wave DFT calculation with PBE-GGA was carried out for a relaxed Tl2NiSe crystal.

Output
- polymorph energy (0 for the lowest one) (meV per atom) = 91
- formation energy from raw total energies (eV/atom) = -0.080

a b c (Å): 4.4144 4.1657 6.5589
angles (deg): 90.00 108.59 90.00
Atoms (fractional coordinates):
1 Tl 0.1553 0.0000 0.2975
2 Tl 0.8447 0.0000 0.7025
3 Ni 0.0000 0.5000 0.0000
4 Se 0.5000 0.5000 0.0000

no.,total magnetization (Bohr magnetons per cell)
1,0.00
2,0.96
3,0.01
4,0.00
5,0.00
6,12.51
7,0.00
8,0.02
9,0.00
10,0.00
11,0.00
12,0.00